(1)
Here is an optimized crystal structure of Cs3CeSm3Te8 from Alexandria via LeMat-Bulk. Energies are from PBE.

Structure (extended XYZ):
```
15
Lattice="-4.9632 7.6337 -0.6571 1.7942 -4.9351 -7.4680 -7.1426 -4.0791 6.5614" Properties=species:S:1:pos:R:3 pbc="T T T"
Cs 0.0000 0.0000 0.0000
Cs 0.8971 -2.4675 -3.7340
Cs -1.5845 1.3493 -4.0625
Ce -3.5713 -2.0396 3.2807
Sm -6.0529 1.7773 2.9522
Sm -5.1558 -0.6902 -0.7818
Sm -2.6742 -4.5071 -0.4533
Te -2.5645 -1.8550 -2.1792
Te -7.7471 0.4746 0.6156
Te -5.0741 1.9416 -2.5316
Te -5.2375 -3.3220 0.9680
Te -5.9813 4.4363 1.2435
Te -4.3303 -5.8167 -2.8071
Te -3.4722 0.5771 1.5757
Te -6.8393 -1.9576 -3.1393
```

ΔE_f (raw) ... -1.37 eV per atom


(2)
Here is an optimized crystal structure of CsCeSn from Alexandria via LeMat-Bulk. Energies are from PBE.

Structure (extended XYZ):
```
6
Lattice="5.9985 0.0000 0.0000 -2.9992 2.9057 0.5121 0.0000 -2.2482 14.6680" Properties=species:S:1:pos:R:3 pbc="T T T"
Sn 0.0000 -0.6440 12.6394
Sn 2.9992 1.3016 2.5407
Cs 0.0000 0.8236 5.0869
Cs 2.9992 -0.1660 10.0932
Ce 0.0000 1.5251 1.1345
Ce 2.9992 -0.8675 14.0456
```

Formation energy ... -0.28 eV/atom
Density of states at the Fermi level ... 5.11 states/eV/f.u.


(3)
Here is an optimized crystal structure of Cs3Ce2SnTe6 from Alexandria via LeMat-Bulk. Energies are from PBE.

Structure (extended XYZ):
```
12
Lattice="-6.0160 0.9496 5.4351 6.5652 -4.4552 1.9194 3.7920 8.3756 0.6939" Properties=species:S:1:pos:R:3 pbc="T T T"
Cs 6.4082 0.6146 2.8400
Cs -2.0670 4.2554 5.2083
Cs 2.1706 2.4350 4.0242
Ce 2.3756 -2.6554 3.0901
Ce -1.8265 -0.8502 4.2644
Sn 0.0000 0.0000 0.0000
Te 1.3441 5.0190 6.7942
Te 1.1126 -0.9473 5.4381
Te 2.9971 -0.1490 1.2542
Te 5.6376 3.1745 5.5944
Te 3.2285 5.8173 2.6103
Te -1.2965 1.6955 2.4540
```

ΔE_f (raw) ... -1.13 eV per atom
Density of states at the Fermi level ... 7.02 states/eV/f.u.


(4)
Here is an optimized crystal structure of Cs3SrCe2Te6 from Alexandria via LeMat-Bulk. Energies are from PBE.

Structure (extended XYZ):
```
12
Lattice="-0.9322 -8.1402 0.6898 7.2016 3.1177 -2.4545 0.6157 2.0810 9.0437" Properties=species:S:1:pos:R:3 pbc="T T T"
Cs 6.1984 2.3435 2.5742
Cs 0.6868 -5.2850 4.7048
Cs 3.4426 -1.4708 3.6395
Sr 0.0000 0.0000 0.0000
Ce 4.4949 -0.6287 -1.4082
Ce 1.7745 -4.3939 -0.3565
Te 3.8244 -4.1159 6.4991
Te 4.5853 -3.1793 0.4782
Te 3.0607 1.1744 0.7799
Te 6.6855 -0.1560 5.3931
Te 2.2999 0.2378 6.8008
Te 0.1997 -2.7855 1.8859
```

ΔE_f (raw) ... -1.37 eV per atom
Density of states at the Fermi level ... 6.18 states/eV/f.u.